# Tb2PmMg (PBE, optimized geometry)
# Calculated total energy (eV/atom): -3.693
# DOS(E_F) (states/eV per cell): 13.76
# Energy above the lowest structure with this stoichiometry (eV per atom): 0.2395
data_Tb2PmMg
_cell_length_a 3.4719
_cell_length_b 3.4719
_cell_length_c 37.1224
_cell_angle_alpha 90.00
_cell_angle_beta 90.00
_cell_angle_gamma 120.00
_space_group_name_H-M_alt 'R -3 m'
_space_group_IT_number 166
_space_group_name_Hall '-R 3 2"'
loop_
_atom_site_label
_atom_site_type_symbol
_atom_site_fract_x
_atom_site_fract_y
_atom_site_fract_z
Tb1 Tb 0.0000 0.0000 0.0885
Pm1 Pm 0.0000 0.0000 0.5000
Mg1 Mg 0.0000 0.0000 0.0000